## NaHfReW (GGA-PBE)

Data for a geometry-optimized NaHfReW structure.

```
NaHfReW
1.0
-0.9390 -3.6460 2.6605
1.0789 0.0777 4.4815
-3.3372 0.2582 3.1702
Re Hf W Na
1 1 1 1
Cartesian
-0.7993 -0.8275 2.5780
-1.5987 -1.6551 5.1561
0.0000 0.0000 0.0000
-2.3980 -2.4826 7.7341
```

## Properties
space group	F-43m, No. 216
offset from the most stable computed form	0	meV per atom
crystal system	cubic
theoretical density	13.698	g/cm3



## NaHf3S5 (GGA-PBE)

Data for a geometry-optimized NaHf3S5 structure.

```
NaHf3S5
1.0
6.0157 0.0000 0.0000
-3.0079 5.2098 0.0000
0.0000 0.0000 6.9827
Hf S Na
3 5 1
Cartesian
-1.5039 2.6049 3.4913
3.0079 0.0000 3.4913
1.5039 2.6049 3.4913
0.0000 3.4732 5.3359
0.0000 0.0000 3.4913
3.0079 1.7366 1.6468
3.0079 1.7366 5.3359
0.0000 3.4732 1.6468
0.0000 0.0000 0.0000
```

## Properties
space group	P6/mmm, No. 191
electronic total energy	-6.9099	eV/atom
crystal system	hexagonal
theoretical density	5.454	g/cm3



## Na2HfSe2S (GGA-PBE)

Data for a geometry-optimized Na2HfSe2S structure.

```
Na2HfSe2S
1.0
-3.0195 0.5996 -6.0886
-3.7967 0.1136 5.6675
2.9497 6.5035 0.4639
Hf Se Na S
2 4 4 2
Cartesian
-3.5334 0.2782 1.6845
-3.2828 0.4349 -2.1057
-2.6560 5.6460 -2.0821
-1.2105 1.5706 2.1249
-0.9293 1.7465 -2.1292
-2.9372 5.4701 2.1720
-2.2035 3.4393 4.1097
0.0000 0.0000 0.0000
-1.6629 3.7774 -4.0670
-1.9332 3.6083 0.0214
-4.1799 1.8980 -0.1979
0.3135 5.3187 0.2406
```

## Properties
space group	C2/m, No. 12
electronic total energy	-5.3062	eV/atom
crystal system	monoclinic
theoretical density	5.013	g/cm3



## Na2HfTeS2 (GGA-PBE)

Data for a geometry-optimized Na2HfTeS2 structure.

```
Na2HfTeS2
1.0
-2.1128 6.7073 0.3930
1.0996 -3.2240 -6.1647
-6.2984 -3.3819 2.0362
Hf Te S Na
2 2 4 4
Cartesian
0.0917 -0.1080 -4.1072
-1.1049 3.5913 -1.6645
-2.2044 1.7397 -3.7145
-5.1072 -1.6382 -0.0209
-0.9838 -1.6199 -2.2942
-5.1451 -1.9350 -3.8555
-2.1665 2.0365 0.1201
-6.3278 1.7214 -1.4412
-4.6988 3.2751 0.2613
-3.6558 0.0507 -1.8677
-2.6128 -3.1736 -3.9968
0.0000 0.0000 0.0000
```

## Properties
space group	C2/m, No. 12
electronic total energy	-5.2553	eV/atom
crystal system	monoclinic
theoretical density	4.703	g/cm3



## Na2HfTe2S (GGA-PBE)

Data for a geometry-optimized Na2HfTe2S structure.

```
Na2HfTe2S
1.0
-4.4835 4.6293 3.1990
-1.8097 -6.9574 -0.2908
5.3585 -0.3500 5.2674
Te Hf S Na
4 2 2 4
Cartesian
-0.8577 1.4417 2.6067
-1.0552 0.1194 6.8456
0.1205 -2.7975 1.3299
-0.0770 -4.1198 5.5688
-2.7505 -2.8807 0.9370
-3.5427 0.5526 1.9711
2.3476 -0.9865 5.0738
-3.2823 -1.6916 3.1017
-0.4673 -1.3390 4.0878
-1.4247 2.8098 5.3373
0.0000 0.0000 0.0000
0.4900 -5.4878 2.8382
```

## Properties
space group	C2/m, No. 12
electronic total energy	-4.9069	eV/atom
crystal system	monoclinic
theoretical density	5.262	g/cm3



## NaHfTlS3 (GGA-PBE)

Data for a geometry-optimized NaHfTlS3 structure.

```
NaHfTlS3
1.0
7.8209 0.0000 0.0000
0.0000 3.7699 0.0000
-3.7750 0.0000 10.5066
S Na Hf Tl
6 2 2 2
Cartesian
0.8971 0.9425 9.3464
-0.5166 2.8274 6.6582
6.6782 2.8274 1.3182
4.5624 0.9425 3.8484
-2.6323 0.9425 9.1885
3.1487 2.8274 1.1602
-1.2408 2.8274 4.0408
5.2866 0.9425 6.4658
-1.0077 2.8274 9.0573
5.0536 0.9425 1.4493
1.7738 0.9425 2.9971
2.2720 2.8274 7.5096
```

## Properties
space group	P2_1/m, No. 11
offset from the most stable computed form	3	meV per atom
crystal system	monoclinic
theoretical density	5.383	g/cm3



## NaHfTlS3 (GGA-PBE)

Data for a geometry-optimized NaHfTlS3 structure.

```
NaHfTlS3
1.0
14.0047 0.0000 0.0000
0.0000 3.7993 0.0000
0.0000 0.0000 11.4292
S Tl Na Hf
12 4 4 4
Cartesian
8.3262 0.9498 0.6834
5.9821 0.9498 7.5369
12.6808 2.8495 6.3980
12.9844 0.9498 9.6069
5.6785 2.8495 10.7458
8.7472 2.8495 9.1258
8.0226 2.8495 3.8923
1.0203 2.8495 1.8223
1.3239 0.9498 5.0312
1.7448 2.8495 8.0180
5.2575 0.9498 2.3034
12.2599 0.9498 3.4112
3.8106 2.8495 6.1621
10.1941 0.9498 5.2671
3.1917 0.9498 0.4475
10.8130 2.8495 10.9817
0.7898 2.8495 10.4568
6.2125 0.9498 4.7421
13.2149 0.9498 0.9725
7.7922 2.8495 6.6871
13.9002 2.8495 4.0070
7.1069 0.9498 9.7216
6.8978 2.8495 1.7076
0.1045 0.9498 7.4222
```

## Properties
space group	Pnma, No. 62
offset from the most stable computed form	0	meV per atom
crystal system	orthorhombic
theoretical density	5.484	g/cm3



## NaHfSb (GGA-PBE)

Data for a geometry-optimized NaHfSb structure.

```
NaHfSb
1.0
-1.6497 1.7288 4.1875
0.8886 4.5744 1.2371
-3.5813 3.2278 0.0321
Sb Na Hf
1 1 1
Cartesian
-1.0856 2.3827 1.3641
0.0000 0.0000 0.0000
-2.1712 4.7655 2.7283
```

## Properties
space group	F-43m, No. 216
offset from the most stable computed form	0	meV per atom
crystal system	cubic
theoretical density	6.773	g/cm3



## Na2HfSe3 (GGA-PBE)

Data for a geometry-optimized Na2HfSe3 structure.

```
Na2HfSe3
1.0
7.3488 0.0000 0.0000
0.0000 3.9207 0.0000
-0.4703 0.0000 9.8753
Se Na Hf
6 4 2
Cartesian
0.3657 2.9405 1.8647
2.5573 2.9405 8.0697
6.5127 0.9802 8.0106
5.5795 2.9405 4.8762
1.2990 0.9802 4.9991
4.3212 0.9802 1.8056
3.9799 0.9802 6.5023
4.9579 2.9405 9.7967
2.8986 2.9405 3.3729
1.9205 0.9802 0.0786
0.4386 2.9405 6.7062
6.4399 0.9802 3.1691
```

## Properties
space group	P2_1/m, No. 11
electronic total energy	-5.1243	eV/atom
crystal system	monoclinic
theoretical density	5.385	g/cm3



## Na2HfSe3 (GGA-PBE)

Data for a geometry-optimized Na2HfSe3 structure.

```
Na2HfSe3
1.0
-7.0015 -4.1679 8.2922
2.8563 0.4682 2.6470
-4.5707 12.9378 2.6437
Na Hf Se
8 4 12
Cartesian
-7.8184 2.2925 9.4840
-7.7763 10.1470 8.0493
-0.9396 -0.9089 5.5336
-9.3282 5.6978 10.5109
-4.5074 8.3219 7.7508
0.6123 3.5402 3.0721
-4.2085 0.9162 5.8321
-0.8975 6.9456 4.0989
-3.7598 -3.1623 8.9753
-3.9725 5.1565 4.8275
-0.3854 -0.5375 1.9639
-4.7434 4.0815 8.7554
0.0876 1.0322 4.0818
-2.8669 -1.0794 7.6433
-2.7010 7.2016 5.9996
-5.8491 10.3174 5.9396
-6.3956 -2.4540 8.7882
-8.8035 8.2058 9.5011
-2.1739 4.6759 2.9718
-2.7822 3.5878 6.7265
-6.5420 4.5622 10.6112
-2.3203 11.6921 4.7947
-5.9337 5.6503 6.8564
-6.0150 2.0364 7.5833
```

## Properties
space group	Pnma, No. 62
electronic total energy	-4.9873	eV/atom
crystal system	orthorhombic
theoretical density	4.809	g/cm3



## Na2HfTe2Se (GGA-PBE)

Data for a geometry-optimized Na2HfTe2Se structure.

```
Na2HfTe2Se
1.0
-6.9290 -1.9640 1.0486
4.9781 -5.1064 -1.4532
1.9351 1.5934 7.2089
Te Na Se Hf
4 4 2 2
Cartesian
2.2053 -4.6079 4.8058
2.1094 -2.0119 1.0886
-2.2211 -0.8691 1.9985
-2.1252 -3.4651 5.7157
4.1698 -3.8410 2.5244
-0.0079 -2.7385 3.4022
-4.1856 -1.6360 4.2799
0.0000 0.0000 0.0000
-0.9615 -4.6444 1.2573
0.9458 -0.8325 5.5470
-2.8189 -3.0487 0.1850
0.8680 -4.0217 -0.5896
```

## Properties
space group	C2/m, No. 12
electronic total energy	-4.7559	eV/atom
crystal system	monoclinic
theoretical density	5.560	g/cm3



## NaHf3Si5 (GGA-PBE)

Data for a geometry-optimized NaHf3Si5 structure.

```
NaHf3Si5
1.0
-3.0958 -4.8734 -0.2683
5.2082 -0.0191 2.5059
-2.7994 1.4574 5.8294
Si Na Hf
5 1 3
Cartesian
-1.3997 0.7287 2.9147
1.9572 -1.3857 2.5869
0.1238 -0.4312 6.4048
-0.8108 -3.0038 1.6622
-2.6442 -2.0493 5.4801
0.0000 0.0000 0.0000
-0.3435 -1.7175 4.0335
-2.9476 -1.7080 2.7806
1.2044 0.7192 4.1677
```

## Properties
space group	P6/mmm, No. 191
electronic total energy	-6.4530	eV/atom
crystal system	hexagonal
theoretical density	6.052	g/cm3



## NaHfSi (GGA-PBE)

Data for a geometry-optimized NaHfSi structure.

```
NaHfSi
1.0
0.0000 3.2028 3.2028
3.2028 0.0000 3.2028
3.2028 3.2028 0.0000
Hf Si Na
1 1 1
Cartesian
1.6014 1.6014 1.6014
0.0000 0.0000 0.0000
4.8042 4.8042 4.8042
```

## Properties
space group	F-43m, No. 216
offset from the most stable computed form	0	meV per atom
crystal system	cubic
theoretical density	5.801	g/cm3



## NaSm2Hf2 (GGA-PBE)

Data for a geometry-optimized NaSm2Hf2 structure.

```
NaSm2Hf2
1.0
-2.0606 -4.6453 -1.7758
9.5096 -8.0495 10.0216
-2.3196 0.1435 2.3163
Hf Sm Na
4 4 2
Cartesian
0.5987 -4.6341 3.2107
4.3378 -10.9486 7.3462
0.7916 -1.6026 3.2160
4.5306 -7.9171 7.3515
0.1411 -3.3315 0.3477
3.8768 -9.6537 4.4802
3.5722 -3.0410 3.7656
7.3079 -9.3632 7.8982
3.7245 -6.3474 4.1229
0.0000 0.0000 0.0000
```

## Properties
space group	Pbam, No. 55
electronic total energy	-5.8391	eV/atom
crystal system	orthorhombic
theoretical density	8.004	g/cm3



## NaSmHf (GGA-PBE)

Data for a geometry-optimized NaSmHf structure.

```
NaSmHf
1.0
4.6636 -2.2378 -0.5198
0.8012 -4.7963 1.8388
0.6232 -3.9754 -3.2917
Sm Na Hf
1 1 1
Cartesian
4.5660 -8.2571 -1.4796
1.5220 -2.7524 -0.4932
0.0000 0.0000 0.0000
```

## Properties
space group	F-43m, No. 216
offset from the most stable computed form	0	meV per atom
crystal system	cubic
theoretical density	5.880	g/cm3



## NaSmHf (GGA-PBE)

Data for a geometry-optimized NaSmHf structure.

```
NaSmHf
1.0
0.0000 3.6713 3.6713
3.6713 0.0000 3.6713
3.6713 3.6713 0.0000
Hf Sm Na
1 1 1
Cartesian
1.8356 1.8356 1.8356
0.0000 0.0000 0.0000
5.5069 5.5069 5.5069
```

## Properties
space group	F-43m, No. 216
offset from the most stable computed form	71	meV per atom
crystal system	cubic
theoretical density	5.904	g/cm3



## NaHfSn (GGA-PBE)

Data for a geometry-optimized NaHfSn structure.

```
NaHfSn
1.0
-0.5824 -2.8308 3.8974
-3.8736 0.5812 2.8636
-3.5006 -3.3593 0.0572
Na Sn Hf
1 1 1
Cartesian
-5.9674 -4.2067 5.1137
0.0000 0.0000 0.0000
-1.9891 -1.4022 1.7046
```

## Properties
space group	F-43m, No. 216
offset from the most stable computed form	0	meV per atom
crystal system	cubic
theoretical density	6.583	g/cm3



## NaHfTa (GGA-PBE)

Data for a geometry-optimized NaHfTa structure.

```
NaHfTa
1.0
0.0000 3.3768 3.3768
3.3768 0.0000 3.3768
3.3768 3.3768 0.0000
Ta Hf Na
1 1 1
Cartesian
0.0000 0.0000 0.0000
1.6884 1.6884 1.6884
5.0652 5.0652 5.0652
```

## Properties
space group	F-43m, No. 216
offset from the most stable computed form	0	meV per atom
crystal system	cubic
theoretical density	8.246	g/cm3



## NaTbHf (GGA-PBE)

Data for a geometry-optimized NaTbHf structure.

```
NaTbHf
1.0
0.0000 3.6769 3.6769
3.6769 0.0000 3.6769
3.6769 3.6769 0.0000
Na Hf Tb
1 1 1
Cartesian
1.8384 1.8384 1.8384
0.0000 0.0000 0.0000
5.5153 5.5153 5.5153
```

## Properties
space group	F-43m, No. 216
electronic total energy	-3.9572	eV/atom
crystal system	cubic
theoretical density	6.020	g/cm3



## NaHfTc (GGA-PBE)

Data for a geometry-optimized NaHfTc structure.

```
NaHfTc
1.0
0.0000 3.1950 3.1950
3.1950 0.0000 3.1950
3.1950 3.1950 0.0000
Tc Na Hf
1 1 1
Cartesian
0.0000 0.0000 0.0000
1.5975 1.5975 1.5975
4.7925 4.7925 4.7925
```

## Properties
space group	F-43m, No. 216
offset from the most stable computed form	0	meV per atom
crystal system	cubic
theoretical density	7.624	g/cm3



## NaHf2Tc2 (GGA-PBE)

Data for a geometry-optimized NaHf2Tc2 structure.

```
NaHf2Tc2
1.0
-2.2892 0.9564 6.8387
-2.9318 4.5041 4.8989
-4.0252 -0.7483 -0.0143
Na Hf Tc
1 2 2
Cartesian
-4.6231 2.3561 5.8617
-5.0681 4.6669 10.2356
-4.1780 0.0453 1.4878
-6.9346 3.5342 8.7925
-2.3115 1.1781 2.9308
```

## Properties
space group	Fmmm, No. 69
electronic total energy	-7.7948	eV/atom
crystal system	orthorhombic
theoretical density	8.551	g/cm3



## NaHfTcW (GGA-PBE)

Data for a geometry-optimized NaHfTcW structure.

```
NaHfTcW
1.0
0.0000 3.2587 3.2587
3.2587 0.0000 3.2587
3.2587 3.2587 0.0000
Tc Hf W Na
1 1 1 1
Cartesian
1.6293 1.6293 1.6293
3.2587 3.2587 3.2587
0.0000 0.0000 0.0000
4.8880 4.8880 4.8880
```

## Properties
space group	F-43m, No. 216
offset from the most stable computed form	0	meV per atom
crystal system	cubic
theoretical density	11.597	g/cm3



## NaHfTe (GGA-PBE)

Data for a geometry-optimized NaHfTe structure.

```
NaHfTe
1.0
3.0479 -3.2830 1.8382
0.9938 0.0052 4.7391
-1.6840 -3.5493 2.8308
Na Te Hf
1 1 1
Cartesian
1.7682 -5.1203 7.0561
0.0000 0.0000 0.0000
0.5894 -1.7068 2.3520
```

## Properties
space group	F-43m, No. 216
offset from the most stable computed form	0	meV per atom
crystal system	cubic
theoretical density	6.807	g/cm3



## NaHf3Te5 (GGA-PBE)

Data for a geometry-optimized NaHf3Te5 structure.

```
NaHf3Te5
1.0
6.2878 0.0000 0.0000
-3.1439 5.4454 0.0000
0.0000 0.0000 8.4068
Te Na Hf
5 1 3
Cartesian
0.0000 3.6303 6.4582
3.1439 1.8151 6.4582
3.1439 1.8151 1.9486
0.0000 0.0000 4.2034
0.0000 3.6303 1.9486
0.0000 0.0000 0.0000
-1.5720 2.7227 4.2034
3.1439 0.0000 4.2034
1.5720 2.7227 4.2034
```

## Properties
space group	P6/mmm, No. 191
electronic total energy	-5.8998	eV/atom
crystal system	hexagonal
theoretical density	6.902	g/cm3